# 1
KScCo | meta-GGA SCAN | single point on PBEsol structure

```
data_KScCo
_chemical_formula_sum 'K4 Sc4 Co4'
_space_group_name_H-M_alt 'F -4 3 m'
_space_group_IT_number 216
_space_group_name_Hall 'F -4 2 3'
_cell_length_a 6.511
_cell_length_b 6.511
_cell_length_c 6.511
_cell_angle_alpha 90.00
_cell_angle_beta 90.00
_cell_angle_gamma 90.00
loop_
_atom_site_label
_atom_site_type_symbol
_atom_site_fract_x
_atom_site_fract_y
_atom_site_fract_z
K1 K 0.000 0.000 0.000
Sc1 Sc 0.250 0.250 0.250
Co1 Co 0.250 0.250 0.750
```

Computed properties:
Total magnetic moment: 2.9 μB per cell
Calculated formation energy: 5.57 eV per formula unit
Uncorrected energy: -11.4331 eV per atom


# 2
SrCO2F | meta-GGA SCAN | single point on PBEsol structure

```
data_SrCO2F
_chemical_formula_sum 'Sr1 C1 O2 F1'
_space_group_name_H-M_alt 'P 4/m m m'
_space_group_IT_number 123
_space_group_name_Hall '-P 4 2'
_cell_length_a 3.504
_cell_length_b 3.504
_cell_length_c 4.103
_cell_angle_alpha 90.00
_cell_angle_beta 90.00
_cell_angle_gamma 90.00
loop_
_atom_site_label
_atom_site_type_symbol
_atom_site_fract_x
_atom_site_fract_y
_atom_site_fract_z
Sr1 Sr 0.000 0.000 0.000
C1 C 0.500 0.500 0.500
O1 O 0.000 0.500 0.500
F1 F 0.500 0.500 0.000
```

Computed properties:
Formation energy from raw total energies: -1.017 eV per atom
Total magnetic moment: 0.0 μB per cell
Uncorrected energy: -10.6928 eV per atom


# 3
AuS2O | meta-GGA SCAN | single point on PBEsol structure

```
data_AuS2O
_chemical_formula_sum 'Au4 S8 O4'
_space_group_name_H-M_alt 'I -4 2 d'
_space_group_IT_number 122
_space_group_name_Hall 'I -4 2bw'
_cell_length_a 4.676
_cell_length_b 4.676
_cell_length_c 12.022
_cell_angle_alpha 90.00
_cell_angle_beta 90.00
_cell_angle_gamma 90.00
loop_
_atom_site_label
_atom_site_type_symbol
_atom_site_fract_x
_atom_site_fract_y
_atom_site_fract_z
Au1 Au 0.000 0.000 0.000
S1 S 0.164 0.250 0.625
O1 O 0.000 0.000 0.500
```

Computed properties:
Formation energy from raw total energies: 0.581 eV per atom
Total magnetic moment: 0.0 μB per cell
Uncorrected energy: -23.0803 eV per atom


# 4
CoAgP | meta-GGA SCAN | single point on PBEsol structure

```
data_CoAgP
_chemical_formula_sum 'Co4 Ag4 P4'
_space_group_name_H-M_alt 'F -4 3 m'
_space_group_IT_number 216
_space_group_name_Hall 'F -4 2 3'
_cell_length_a 5.530
_cell_length_b 5.530
_cell_length_c 5.530
_cell_angle_alpha 90.00
_cell_angle_beta 90.00
_cell_angle_gamma 90.00
loop_
_atom_site_label
_atom_site_type_symbol
_atom_site_fract_x
_atom_site_fract_y
_atom_site_fract_z
Co1 Co 0.000 0.000 0.000
Ag1 Ag 0.000 0.000 0.500
P1 P 0.250 0.250 0.750
```

Computed properties:
Total magnetic moment: 5.9 μB per cell
Calculated formation energy: 0.57 eV per formula unit
Uncorrected energy: -19.5015 eV per atom


# 5
Sr2Li2Te | meta-GGA SCAN | single point on PBEsol structure

```
data_Sr2Li2Te
_chemical_formula_sum 'Sr4 Li4 Te2'
_space_group_name_H-M_alt 'P 4/m b m'
_space_group_IT_number 127
_space_group_name_Hall '-P 4 2ab'
_cell_length_a 7.822
_cell_length_b 7.822
_cell_length_c 4.893
_cell_angle_alpha 90.00
_cell_angle_beta 90.00
_cell_angle_gamma 90.00
loop_
_atom_site_label
_atom_site_type_symbol
_atom_site_fract_x
_atom_site_fract_y
_atom_site_fract_z
Sr1 Sr 0.176 0.324 0.000
Li1 Li 0.130 0.630 0.500
Te1 Te 0.000 0.000 0.500
```

Computed properties:
Formation energy from raw total energies: -0.497 eV per atom
Total magnetic moment: 2.6 μB per cell
Uncorrected energy: -17.8130 eV per atom


# 6
BaHf2ScGe | meta-GGA SCAN | single point on PBEsol structure

```
data_BaHf2ScGe
_chemical_formula_sum 'Ba1 Hf2 Sc1 Ge1'
_space_group_name_H-M_alt 'P 4/m m m'
_space_group_IT_number 123
_space_group_name_Hall '-P 4 2'
_cell_length_a 5.052
_cell_length_b 5.052
_cell_length_c 5.906
_cell_angle_alpha 90.00
_cell_angle_beta 90.00
_cell_angle_gamma 90.00
loop_
_atom_site_label
_atom_site_type_symbol
_atom_site_fract_x
_atom_site_fract_y
_atom_site_fract_z
Ba1 Ba 0.000 0.000 0.000
Hf1 Hf 0.000 0.500 0.500
Sc1 Sc 0.500 0.500 0.000
Ge1 Ge 0.000 0.000 0.500
```

Computed properties:
Total magnetic moment: 0.0 μB per cell
Calculated formation energy: 3.01 eV per formula unit
Uncorrected energy: -39.0416 eV per atom


# 7
BeAgSb2 | meta-GGA SCAN | single point on PBEsol structure

```
data_BeAgSb2
_chemical_formula_sum 'Be2 Ag2 Sb4'
_space_group_name_H-M_alt 'C 1 m 1'
_space_group_IT_number 8
_space_group_name_Hall 'C -2y'
_cell_length_a 7.765
_cell_length_b 3.797
_cell_length_c 5.976
_cell_angle_alpha 90.00
_cell_angle_beta 109.29
_cell_angle_gamma 90.00
loop_
_atom_site_label
_atom_site_type_symbol
_atom_site_fract_x
_atom_site_fract_y
_atom_site_fract_z
Be1 Be 0.000 0.000 0.000
Ag1 Ag 0.268 0.000 0.873
Sb1 Sb 0.002 0.500 0.627
Sb2 Sb 0.267 0.500 0.229
```

Computed properties:
Formation energy from raw total energies: 0.233 eV per atom
Total magnetic moment: 0.0 μB per cell
Uncorrected energy: -27.3272 eV per atom


# 8
LiTlS3 | meta-GGA SCAN | single point on PBEsol structure

```
data_LiTlS3
_chemical_formula_sum 'Li1 Tl1 S3'
_space_group_name_H-M_alt 'P m -3 m'
_space_group_IT_number 221
_space_group_name_Hall '-P 4 2 3'
_cell_length_a 5.097
_cell_length_b 5.097
_cell_length_c 5.097
_cell_angle_alpha 90.00
_cell_angle_beta 90.00
_cell_angle_gamma 90.00
loop_
_atom_site_label
_atom_site_type_symbol
_atom_site_fract_x
_atom_site_fract_y
_atom_site_fract_z
Li1 Li 0.000 0.000 0.000
Tl1 Tl 0.500 0.500 0.500
S1 S 0.000 0.500 0.500
```

Computed properties:
Formation energy from raw total energies: 0.336 eV per atom
Total magnetic moment: 0.0 μB per cell
Uncorrected energy: -20.3907 eV per atom


# 9
NaHS | meta-GGA SCAN | single point on PBEsol structure

```
data_NaHS
_chemical_formula_sum 'Na2 H2 S2'
_space_group_name_H-M_alt 'P 1 21/m 1'
_space_group_IT_number 11
_space_group_name_Hall '-P 2yb'
_cell_length_a 3.783
_cell_length_b 4.496
_cell_length_c 5.847
_cell_angle_alpha 90.00
_cell_angle_beta 99.26
_cell_angle_gamma 90.00
loop_
_atom_site_label
_atom_site_type_symbol
_atom_site_fract_x
_atom_site_fract_y
_atom_site_fract_z
Na1 Na 0.238 0.250 0.268
H1 H 0.427 0.750 0.110
S1 S 0.244 0.250 0.755
```

Computed properties:
Total magnetic moment: 0.0 μB per cell
Uncorrected energy: -6.5764 eV per atom


# 10
K2LaFe | meta-GGA SCAN | single point on PBEsol structure

```
data_K2LaFe
_chemical_formula_sum 'K2 La1 Fe1'
_space_group_name_H-M_alt 'P 1 2/m 1'
_space_group_IT_number 10
_space_group_name_Hall '-P 2y'
_cell_length_a 3.999
_cell_length_b 6.731
_cell_length_c 4.866
_cell_angle_alpha 90.00
_cell_angle_beta 95.61
_cell_angle_gamma 90.00
loop_
_atom_site_label
_atom_site_type_symbol
_atom_site_fract_x
_atom_site_fract_y
_atom_site_fract_z
K1 K 0.228 0.000 0.270
La1 La 0.500 0.500 0.000
Fe1 Fe 0.000 0.500 0.500
```

Computed properties:
Offset from the most stable computed form: 0.0 meV/atom
Total magnetic moment: 1.6 μB per cell
Calculated formation energy: 3.18 eV per formula unit
Uncorrected energy: -18.6769 eV per atom


# 11
HfV2Ga4 | meta-GGA SCAN | single point on PBEsol structure

```
data_HfV2Ga4
_chemical_formula_sum 'Hf2 V4 Ga8'
_space_group_name_H-M_alt 'I 4/m m m'
_space_group_IT_number 139
_space_group_name_Hall '-I 4 2'
_cell_length_a 6.368
_cell_length_b 6.368
_cell_length_c 5.111
_cell_angle_alpha 90.00
_cell_angle_beta 90.00
_cell_angle_gamma 90.00
loop_
_atom_site_label
_atom_site_type_symbol
_atom_site_fract_x
_atom_site_fract_y
_atom_site_fract_z
Hf1 Hf 0.000 0.000 0.000
V1 V 0.000 0.500 0.250
Ga1 Ga 0.197 0.197 0.500
```

Computed properties:
Total magnetic moment: 0.0 μB per cell
Calculated formation energy: -3.22 eV per formula unit
Uncorrected energy: -23.7512 eV per atom


# 12
KScAl2 | meta-GGA SCAN | single point on PBEsol structure

```
data_KScAl2
_chemical_formula_sum 'K3 Sc3 Al6'
_space_group_name_H-M_alt 'R -3 m'
_space_group_IT_number 166
_space_group_name_Hall '-R 3 2"'
_cell_length_a 3.2093
_cell_length_b 3.2093
_cell_length_c 31.6072
_cell_angle_alpha 90.00
_cell_angle_beta 90.00
_cell_angle_gamma 120.00
loop_
_atom_site_label
_atom_site_type_symbol
_atom_site_fract_x
_atom_site_fract_y
_atom_site_fract_z
K1 K 0.0000 0.0000 0.0000
Sc1 Sc 0.0000 0.0000 0.5000
Al1 Al 0.0000 0.0000 0.2393
```

Computed properties:
Offset from the most stable computed form: 226.1 meV/atom
Total magnetic moment: 0.0 μB per cell
Calculated formation energy: 0.73 eV per formula unit
Uncorrected energy: -9.3339 eV per atom


> Which value of uncorrected energy does entry 2 give?

-10.6928 eV per atom


> Which value of uncorrected energy does entry 9 give?

-6.5764 eV per atom